A relaxed structure of LiRuPb2Cl. Source: Alexandria, functional GGA-PBEsol.

Cell and atoms, written as CIF:
```
data_LiRuPb2Cl
_chemical_formula_sum 'Li1 Ru1 Pb2 Cl1'
_space_group_name_H-M_alt 'P 4/m m m'
_space_group_IT_number 123
_space_group_name_Hall '-P 4 2'
_cell_length_a 5.421
_cell_length_b 5.421
_cell_length_c 3.947
_cell_angle_alpha 90.00
_cell_angle_beta 90.00
_cell_angle_gamma 90.00
loop_
_atom_site_label
_atom_site_type_symbol
_atom_site_fract_x
_atom_site_fract_y
_atom_site_fract_z
Li1 Li 0.000 0.000 0.000
Ru1 Ru 0.500 0.500 0.000
Pb1 Pb 0.000 0.500 0.500
Cl1 Cl 0.000 0.000 0.500
```

## Properties
**E_tot**: -3.90 eV per atom
**Formation energy (no corrections)**: 0.53 eV/atom